1.
## Cd7Sn (GGA-PBE)

Data for crystalline Cd7Sn at its relaxed geometry.

The structure belongs to space group I4/mmm (No. 139); the cell edges are 4.549, 4.549 and 18.027 Å and the angles 90.00°, 90.00° and 90.00°. The distinct sites, in fractional coordinates, are Cd at (0.000, 0.000, 0.000), Cd at (0.000, 0.000, 0.249), Cd at (0.000, 0.500, 0.129) and Sn at (0.000, 0.000, 0.500).

The polymorph energy (0 for the lowest one) is 0 meV per atom. For the energy, the calculation gives -1.276 eV per atom.

---

2.
## BaNbO3 (GGA-PBE)

Data for crystalline BaNbO3 at its relaxed geometry.

The structure belongs to space group I-4m2 (No. 119); the cell edges are 3.796, 3.796 and 23.307 Å and the angles 90.00°, 90.00° and 90.00°. The distinct sites, in fractional coordinates, are Ba at (0.000, 0.000, 0.000), Ba at (0.000, 0.500, 0.250), Nb at (0.000, 0.500, 0.632), O at (0.000, 0.000, 0.327) and O at (0.000, 0.253, 0.110).

As for the formation energy without anion corrections: -1.466 eV per atom. For the energy, the calculation gives -6.840 eV per atom.

---

3.
## TmPd6Pt23 (GGA-PBE)

Data for crystalline TmPd6Pt23 at its relaxed geometry.

The structure belongs to space group I4/mmm (No. 139); the cell edges are 7.917, 7.917 and 15.644 Å and the angles 90.00°, 90.00° and 90.00°. The distinct sites, in fractional coordinates, are Tm at (0.000, 0.000, 0.000), Pd at (0.000, 0.000, 0.249), Pd at (0.249, 0.249, 0.500), Pt at (0.000, 0.000, 0.500), Pt at (0.000, 0.252, 0.372), Pt at (0.000, 0.259, 0.130), Pt at (0.000, 0.500, 0.000) and Pt at (0.250, 0.250, 0.250).

For the energy, the calculation gives -5.950 eV per atom.

---

4.
## Cd2Ag6Hg (GGA-PBE)

Data for crystalline Cd2Ag6Hg at its relaxed geometry.

The structure belongs to space group P-3m1 (No. 164); the cell edges are 6.6807, 6.6807 and 4.9355 Å and the angles 90.00°, 90.00° and 120.00°. The distinct sites, in fractional coordinates, are Cd at (0.3333, 0.6667, 0.3226), Ag at (0.1935, 0.3869, 0.8224) and Hg at (0.0000, 0.0000, 0.5000).

The polymorph energy (0 for the lowest one) is 145 meV per atom. For the energy, the calculation gives -1.998 eV per atom.

---

5.
## V3Ga2 (GGA-PBE)

Data for crystalline V3Ga2 at its relaxed geometry.

The structure belongs to space group Fdd2 (No. 43); the cell edges are 9.062, 12.778 and 4.915 Å and the angles 90.00°, 90.00° and 90.00°. The distinct sites, in fractional coordinates, are V at (0.000, 0.000, 0.000), V at (0.049, 0.102, 0.425) and Ga at (0.038, 0.200, 0.907).

For the energy, the calculation gives -6.785 eV per atom.

---

6.
## ThTaReSi2 (GGA-PBE)

Data for crystalline ThTaReSi2 at its relaxed geometry.

The structure belongs to space group I-4m2 (No. 119); the cell edges are 4.078, 4.078 and 11.205 Å and the angles 90.00°, 90.00° and 90.00°. The distinct sites, in fractional coordinates, are Th at (0.000, 0.000, 0.000), Ta at (0.000, 0.500, 0.750), Re at (0.000, 0.500, 0.250) and Si at (0.000, 0.000, 0.390).

As for the formation energy without anion corrections: -0.559 eV per atom. For the energy, the calculation gives -9.072 eV per atom.